# 1
PbCl3 | GGA-PBE | optimized geometry

Unit cell a=3.602 b=7.504 c=9.525 alpha=100.58 beta=90.00 gamma=90.00
Fractional positions:
Cl: 0.750 0.751 0.499
Cl: 0.250 0.095 0.841
Pb: 0.250 0.694 0.274
Pb: 0.750 0.306 0.726
Cl: 0.250 0.578 0.831
Cl: 0.750 0.422 0.169
Cl: 0.250 0.249 0.501
Cl: 0.750 0.905 0.159

SG = P2_1/m (11)

=====

# 2
Pb3Cl | GGA-PBE | optimized geometry

Unit cell a=5.480 b=5.480 c=5.480 alpha=60.00 beta=60.00 gamma=60.00
Fractional positions:
Pb: 0.500 0.500 0.500
Pb: 0.250 0.250 0.250
Pb: 0.750 0.750 0.750
Cl: 0.000 0.000 0.000

SG = Fm-3m (225)
offset from the most stable computed form = 89 meV per atom

=====

# 3
Pb2Cl3 | GGA-PBE | optimized geometry

Unit cell a=8.522 b=8.522 c=6.686 alpha=50.41 beta=50.41 gamma=60.00
Fractional positions:
Cl: 0.750 0.428 0.750
Cl: 0.250 0.572 0.250
Pb: 0.626 0.626 0.123
Pb: 0.874 0.874 0.377
Pb: 0.374 0.374 0.877
Cl: 0.428 0.072 0.750
Cl: 0.928 0.250 0.250
Cl: 0.072 0.750 0.750
Pb: 0.126 0.126 0.623
Cl: 0.572 0.928 0.250

SG = R-3c (167)

=====

For reference, magnetic moment by record: 0.000, 0.000, 0.000 μB/atom.
For reference, total energy by record: -3.02, -3.45, -3.49 eV/atom.